# V2PtPbO8 GGA+U relaxed
data_V2PtPbO8
_chemical_formula_sum 'V2 Pt1 Pb1 O8'
_cell_length_a 5.270
_cell_length_b 5.270
_cell_length_c 7.222
_cell_angle_alpha 90.00
_cell_angle_beta 90.00
_cell_angle_gamma 120.00
_symmetry_space_group_name_H-M 'P 1'
_symmetry_Int_Tables_number 1
loop_
_symmetry_equiv_pos_as_xyz
'x,y,z'
loop_
_atom_site_label
_atom_site_type_symbol
_atom_site_fract_x
_atom_site_fract_y
_atom_site_fract_z
V1 V 0.667 0.333 0.261
V2 V 0.333 0.667 0.739
Pt1 Pt 0.000 0.000 0.500
Pb1 Pb 0.000 0.000 0.000
O1 O 0.333 0.667 0.972
O2 O 0.314 0.268 0.325
O3 O 0.732 0.046 0.325
O4 O 0.667 0.333 0.028
O5 O 0.268 0.954 0.675
O6 O 0.686 0.732 0.675
O7 O 0.046 0.314 0.675
O8 O 0.954 0.686 0.325
# Mass density: 6.0 Mg/m³
# Crystal system: trigonal
# Space-group type: P-3 (147)
# Calculated total energy: -6.73 eV per atom

***

# VPtPb2O6 GGA+U relaxed
data_VPtPb2O6
_chemical_formula_sum 'V2 Pt2 Pb4 O12'
_cell_length_a 5.714
_cell_length_b 5.714
_cell_length_c 10.281
_cell_angle_alpha 73.87
_cell_angle_beta 73.87
_cell_angle_gamma 60.00
_symmetry_space_group_name_H-M 'P 1'
_symmetry_Int_Tables_number 1
loop_
_symmetry_equiv_pos_as_xyz
'x,y,z'
loop_
_atom_site_label
_atom_site_type_symbol
_atom_site_fract_x
_atom_site_fract_y
_atom_site_fract_z
V1 V 0.596 0.596 0.213
V2 V 0.404 0.404 0.787
Pt1 Pt 0.000 0.000 0.000
Pt2 Pt 0.500 0.500 0.500
Pb1 Pb 0.882 0.882 0.353
Pb2 Pb 0.118 0.118 0.647
Pb3 Pb 0.730 0.730 0.809
Pb4 Pb 0.270 0.270 0.191
O1 O 0.850 0.397 0.357
O2 O 0.397 0.850 0.357
O3 O 0.397 0.397 0.357
O4 O 0.150 0.603 0.643
O5 O 0.603 0.150 0.643
O6 O 0.603 0.603 0.643
O7 O 0.728 0.202 0.867
O8 O 0.202 0.728 0.867
O9 O 0.202 0.202 0.867
O10 O 0.272 0.798 0.133
O11 O 0.798 0.272 0.133
O12 O 0.798 0.798 0.133
# Mass density: 9.1 Mg/m³
# Crystal system: trigonal
# Space-group type: R-3m (166)
# Calculated total energy: -6.18 eV per atom

***

# PtPbWO6 GGA+U relaxed
data_PtPbWO6
_chemical_formula_sum 'Pt2 Pb2 W2 O12'
_cell_length_a 7.081
_cell_length_b 7.382
_cell_length_c 7.328
_cell_angle_alpha 120.25
_cell_angle_beta 118.89
_cell_angle_gamma 90.00
_symmetry_space_group_name_H-M 'P 1'
_symmetry_Int_Tables_number 1
loop_
_symmetry_equiv_pos_as_xyz
'x,y,z'
loop_
_atom_site_label
_atom_site_type_symbol
_atom_site_fract_x
_atom_site_fract_y
_atom_site_fract_z
Pt1 Pt 0.500 0.000 0.500
Pt2 Pt 0.000 0.000 0.500
Pb1 Pb 0.953 0.703 0.905
Pb2 Pb 0.047 0.297 0.095
W1 W 0.500 0.500 0.000
W2 W 0.500 0.000 0.000
O1 O 0.439 0.689 0.878
O2 O 0.836 0.086 0.671
O3 O 0.819 0.060 0.236
O4 O 0.417 0.676 0.236
O5 O 0.417 0.060 0.236
O6 O 0.819 0.676 0.236
O7 O 0.561 0.311 0.122
O8 O 0.164 0.914 0.329
O9 O 0.181 0.940 0.764
O10 O 0.583 0.324 0.764
O11 O 0.583 0.940 0.764
O12 O 0.181 0.324 0.764
# Mass density: 8.3 Mg/m³
# Crystal system: orthorhombic
# Space-group type: Imma (74)
# Calculated total energy: -6.41 eV per atom

***

Question: mass density of number 3 (PtPbWO6)?
Answer: 8.3 Mg/m³

***

Question: Number 1 is which compound?
Answer: V2PtPbO8